No. 1
Material: BeMoRh
Method: DFT, PBE
State: relaxed

Unit cell a=2.751 b=2.751 c=6.054 alpha=90.00 beta=90.00 gamma=120.00
Fractional positions:
Rh (0.333, 0.667, 0.690)
Be (0.000, 0.000, 0.986)
Mo (0.667, 0.333, 0.325)

Calculated values
Crystal system: trigonal
Energy, eV/atom: -7.29
Total magnetic moment, μB/cell: 0.00
ΔH_f (0 K), eV per atom: 0.012
Excess energy over the best structure of this formula in the dataset, eV/atom: 0.3105

No. 2
Material: ThCu3Ni8
Method: DFT, PBE
State: relaxed

Unit cell a=4.789 b=4.789 c=7.914 alpha=90.00 beta=90.00 gamma=120.00
Fractional positions:
Ni (0.333, 0.667, 0.500)
Ni (0.165, 0.835, 0.243)
Ni (0.995, 0.497, 0.768)
Ni (0.333, 0.667, 0.004)
Ni (0.503, 0.005, 0.768)
Ni (0.503, 0.497, 0.768)
Ni (0.670, 0.835, 0.243)
Ni (0.165, 0.330, 0.243)
Th (0.000, 0.000, 0.569)
Cu (0.667, 0.333, 0.053)
Cu (0.667, 0.333, 0.374)
Cu (0.000, 0.000, 0.965)

Calculated values
Crystal system: trigonal
Energy, eV/atom: -5.55
Total magnetic moment, μB/cell: 2.05
ΔH_f (0 K), eV per atom: -0.058

No. 3
Material: AcPdAu2
Method: DFT, PBE
State: relaxed

Unit cell a=4.696 b=4.696 c=5.744 alpha=65.88 beta=65.88 gamma=60.00
Fractional positions:
Pd (0.500, 0.500, 0.500)
Ac (0.000, 0.000, 0.000)
Au (0.785, 0.785, 0.645)
Au (0.215, 0.215, 0.355)

Calculated values
Crystal system: trigonal
Energy, eV/atom: -4.63
Total magnetic moment, μB/cell: 0.00
ΔH_f (0 K), eV per atom: -0.668
Excess energy over the best structure of this formula in the dataset, eV/atom: 0.0741

No. 4
Material: Pm4Tl2Ru
Method: DFT, PBE
State: relaxed

Unit cell a=4.807 b=6.261 c=7.772 alpha=78.15 beta=71.99 gamma=67.42
Fractional positions:
Pm (0.930, 0.787, 0.353)
Pm (0.666, 0.720, 0.948)
Pm (0.334, 0.280, 0.052)
Pm (0.070, 0.213, 0.647)
Ru (0.000, 0.000, 0.000)
Tl (0.659, 0.354, 0.328)
Tl (0.341, 0.646, 0.672)

Calculated values
Crystal system: monoclinic
Energy, eV/atom: -5.02
Total magnetic moment, μB/cell: 0.00
ΔH_f (0 K), eV per atom: -0.302
Excess energy over the best structure of this formula in the dataset, eV/atom: 0.0000

No. 5
Material: Sr2Zn3Au4
Method: DFT, PBE
State: relaxed

Unit cell a=6.042 b=8.032 c=8.606 alpha=90.00 beta=110.55 gamma=90.00
Fractional positions:
Zn (0.500, 0.500, 0.000)
Zn (0.030, 0.750, 0.559)
Zn (0.000, 0.000, 0.000)
Zn (0.970, 0.250, 0.441)
Zn (0.470, 0.250, 0.441)
Zn (0.530, 0.750, 0.559)
Au (0.802, 0.250, 0.103)
Au (0.189, 0.971, 0.378)
Au (0.198, 0.750, 0.897)
Au (0.311, 0.471, 0.622)
Au (0.811, 0.029, 0.622)
Au (0.689, 0.529, 0.378)
Au (0.698, 0.750, 0.897)
Au (0.302, 0.250, 0.103)
Sr (0.614, 0.913, 0.228)
Sr (0.386, 0.087, 0.772)
Sr (0.886, 0.413, 0.772)
Sr (0.114, 0.587, 0.228)

Calculated values
Crystal system: orthorhombic
Energy, eV/atom: -2.77
Total magnetic moment, μB/cell: 0.00
ΔH_f (0 K), eV per atom: -0.516

No. 6
Material: RbDyInSe3
Method: DFT, PBE
State: relaxed

Unit cell a=4.110 b=8.963 c=11.414 alpha=108.43 beta=90.00 gamma=90.00
Fractional positions:
Rb (0.750, 0.767, 0.730)
Rb (0.250, 0.233, 0.270)
Se (0.250, 0.585, 0.887)
Se (0.750, 0.415, 0.113)
Se (0.750, 0.335, 0.588)
Se (0.250, 0.113, 0.807)
Se (0.250, 0.665, 0.412)
Se (0.750, 0.887, 0.193)
In (0.750, 0.868, 0.420)
In (0.250, 0.132, 0.580)
Dy (0.750, 0.355, 0.855)
Dy (0.250, 0.645, 0.145)

Calculated values
Crystal system: monoclinic
Energy, eV/atom: -4.40
Total magnetic moment, μB/cell: 0.00
Raw formation energy, eV per atom: -1.27

No. 7
Material: Pm2GdTl
Method: DFT, PBE
State: relaxed

Unit cell a=4.920 b=4.951 c=4.951 alpha=90.00 beta=90.00 gamma=90.00
Fractional positions:
Pm (0.000, 0.500, 0.000)
Pm (0.000, 0.000, 0.500)
Tl (0.500, 0.000, 0.000)
Gd (0.500, 0.500, 0.500)

Calculated values
Crystal system: tetragonal
Energy, eV/atom: -6.70
Total magnetic moment, μB/cell: 8.02
ΔH_f (0 K), eV per atom: -0.217
Excess energy over the best structure of this formula in the dataset, eV/atom: 0.0000

No. 8
Material: NaBeInRh2
Method: DFT, PBE
State: relaxed

Unit cell a=4.991 b=4.523 c=4.991 alpha=90.00 beta=90.00 gamma=90.00
Fractional positions:
Rh (0.500, 0.000, 0.000)
Rh (0.000, 0.000, 0.500)
Be (0.000, 0.500, 0.000)
In (0.000, 0.000, 0.000)
Na (0.500, 0.500, 0.500)

Calculated values
Crystal system: tetragonal
Energy, eV/atom: -3.53
Total magnetic moment, μB/cell: 0.00
ΔH_f (0 K), eV per atom: 0.971

No. 9
Material: Er3ZrHg4
Method: DFT, PBE
State: relaxed

Unit cell a=3.667 b=3.667 c=14.425 alpha=90.00 beta=90.00 gamma=90.00
Fractional positions:
Er (0.500, 0.500, 0.243)
Er (0.500, 0.500, 0.500)
Er (0.500, 0.500, 0.757)
Hg (0.000, 0.000, 0.883)
Hg (0.000, 0.000, 0.117)
Hg (0.000, 0.000, 0.372)
Hg (0.000, 0.000, 0.628)
Zr (0.500, 0.500, 0.000)

Calculated values
Crystal system: tetragonal
Energy, eV/atom: -3.31
Total magnetic moment, μB/cell: 0.36
ΔH_f (0 K), eV per atom: -0.376

No. 10
Material: FeNi14Ge
Method: DFT, PBE
State: relaxed

Unit cell a=5.001 b=5.001 c=8.170 alpha=90.00 beta=90.00 gamma=119.78
Fractional positions:
Ni (0.706, 0.792, 0.000)
Ni (0.876, 0.626, 0.750)
Ni (0.875, 0.125, 0.752)
Ni (0.374, 0.124, 0.750)
Ni (0.545, 0.957, 0.500)
Ni (0.374, 0.124, 0.250)
Ni (0.707, 0.293, 0.000)
Ni (0.374, 0.626, 0.752)
Ni (0.043, 0.455, 0.500)
Ni (0.208, 0.294, 0.000)
Ni (0.374, 0.626, 0.248)
Ni (0.207, 0.793, 0.000)
Ni (0.875, 0.125, 0.248)
Ni (0.876, 0.626, 0.250)
Ge (0.543, 0.457, 0.500)
Fe (0.042, 0.958, 0.500)

Calculated values
Crystal system: orthorhombic
Energy, eV/atom: -5.92
Total magnetic moment, μB/cell: 10.04
ΔH_f (0 K), eV per atom: -0.044

No. 11
Material: AcIn2Ni2Ge
Method: DFT, PBE
State: relaxed

Unit cell a=4.561 b=4.561 c=6.229 alpha=90.00 beta=90.00 gamma=90.00
Fractional positions:
Ge (0.000, 0.000, 0.000)
In (0.500, 0.500, 0.250)
In (0.500, 0.500, 0.750)
Ni (0.000, 0.500, 0.000)
Ni (0.500, 0.000, 0.000)
Ac (0.000, 0.000, 0.500)

Calculated values
Crystal system: tetragonal
Energy, eV/atom: -4.59
Total magnetic moment, μB/cell: 0.00
ΔH_f (0 K), eV per atom: -0.298

No. 12
Material: Zr4BiB
Method: DFT, PBE
State: relaxed

Unit cell a=5.215 b=8.517 c=6.151 alpha=90.00 beta=90.00 gamma=115.01
Fractional positions:
Zr (0.428, 0.043, 0.750)
Zr (0.054, 0.225, 0.992)
Zr (0.572, 0.957, 0.250)
Zr (0.946, 0.775, 0.492)
Zr (0.946, 0.775, 0.008)
Zr (0.054, 0.225, 0.508)
Zr (0.379, 0.682, 0.750)
Zr (0.621, 0.318, 0.250)
Bi (0.702, 0.427, 0.750)
Bi (0.298, 0.573, 0.250)
B (0.840, 0.964, 0.750)
B (0.160, 0.036, 0.250)

Calculated values
Crystal system: monoclinic
Energy, eV/atom: -7.74
Total magnetic moment, μB/cell: 0.00
ΔH_f (0 K), eV per atom: -0.285

No. 13
Material: KTa2Re
Method: DFT, PBE
State: relaxed

Unit cell a=4.233 b=2.881 c=8.228 alpha=82.21 beta=90.00 gamma=90.00
Fractional positions:
Re (0.500, 0.750, 0.750)
K (0.500, 0.250, 0.250)
Ta (0.000, 0.042, 0.899)
Ta (0.000, 0.458, 0.601)

Calculated values
Crystal system: monoclinic
Energy, eV/atom: -8.60
Total magnetic moment, μB/cell: 0.00
ΔH_f (0 K), eV per atom: 0.715
Excess energy over the best structure of this formula in the dataset, eV/atom: 0.1328

No. 14
Material: Li2In3
Method: DFT, PBE
State: relaxed

Unit cell a=4.704 b=4.704 c=5.702 alpha=90.00 beta=90.00 gamma=120.00
Fractional positions:
In (0.333, 0.667, 0.357)
In (0.000, 0.000, 0.000)
In (0.667, 0.333, 0.643)
Li (0.667, 0.333, 0.144)
Li (0.333, 0.667, 0.856)

Calculated values
Crystal system: trigonal
Energy, eV/atom: -2.58
Total magnetic moment, μB/cell: 0.00
ΔH_f (0 K), eV per atom: -0.174
Excess energy over the best structure of this formula in the dataset, eV/atom: 0.0334

No. 15
Material: Re2Rh3
Method: DFT, PBE
State: relaxed

Unit cell a=7.204 b=7.204 c=2.718 alpha=100.88 beta=100.88 gamma=31.36
Fractional positions:
Rh (0.596, 0.596, 0.596)
Rh (0.204, 0.204, 0.204)
Rh (0.400, 0.400, 0.400)
Re (0.001, 0.001, 0.002)
Re (0.799, 0.799, 0.798)

Calculated values
Crystal system: orthorhombic
Energy, eV/atom: -9.48
Total magnetic moment, μB/cell: 0.00
ΔH_f (0 K), eV per atom: -0.091
Excess energy over the best structure of this formula in the dataset, eV/atom: 0.0234

No. 16
Material: Rb2P2PbO6
Method: DFT, PBE
State: relaxed

Unit cell a=6.062 b=6.125 c=7.128 alpha=117.72 beta=90.00 gamma=119.66
Fractional positions:
O (0.215, 0.431, 0.306)
O (0.785, 0.569, 0.694)
O (0.194, 0.962, 0.223)
O (0.806, 0.038, 0.777)
O (0.768, 0.962, 0.223)
O (0.232, 0.038, 0.777)
P (0.044, 0.087, 0.181)
P (0.956, 0.913, 0.819)
Rb (0.283, 0.566, 0.806)
Rb (0.717, 0.434, 0.194)
Pb (0.500, 0.000, 0.500)

Calculated values
Crystal system: monoclinic
Energy, eV/atom: -6.22
Total magnetic moment, μB/cell: 0.00
Raw formation energy, eV per atom: -2.02

No. 17
Material: LaMnGa2
Method: DFT, PBE
State: relaxed

Unit cell a=4.940 b=4.940 c=4.940 alpha=60.00 beta=60.00 gamma=60.00
Fractional positions:
Ga (0.750, 0.750, 0.750)
Ga (0.250, 0.250, 0.250)
La (0.500, 0.500, 0.500)
Mn (0.000, 0.000, 0.000)

Calculated values
Crystal system: cubic
Energy, eV/atom: -5.24
Total magnetic moment, μB/cell: 3.78
ΔH_f (0 K), eV per atom: -0.206

No. 18
Material: Sm4TeSe5
Method: DFT, PBE
State: relaxed

Unit cell a=4.263 b=8.762 c=9.452 alpha=107.23 beta=103.03 gamma=90.00
Fractional positions:
Te (0.500, 0.000, 0.000)
Sm (0.994, 0.726, 0.987)
Sm (0.314, 0.870, 0.628)
Sm (0.006, 0.274, 0.013)
Sm (0.686, 0.130, 0.372)
Se (0.835, 0.666, 0.670)
Se (0.165, 0.334, 0.330)
Se (0.840, 0.122, 0.681)
Se (0.160, 0.878, 0.319)
Se (0.500, 0.500, 0.000)

Calculated values
Crystal system: monoclinic
Energy, eV/atom: -5.67
Total magnetic moment, μB/cell: 0.00
Raw formation energy, eV per atom: -1.73

No. 19
Material: PuMnRhAu
Method: DFT, PBE
State: relaxed

Unit cell a=4.769 b=4.769 c=4.769 alpha=60.00 beta=60.00 gamma=60.00
Fractional positions:
Pu (0.750, 0.750, 0.750)
Au (0.500, 0.500, 0.500)
Rh (0.000, 0.000, 0.000)
Mn (0.250, 0.250, 0.250)

Calculated values
Crystal system: cubic
Energy, eV/atom: -8.61
Total magnetic moment, μB/cell: 9.57
ΔH_f (0 K), eV per atom: -0.081

No. 20
Material: ScCuRu3
Method: DFT, PBE
State: relaxed

Unit cell a=4.467 b=4.467 c=4.467 alpha=90.00 beta=90.00 gamma=90.00
Fractional positions:
Ru (0.000, 0.000, 0.500)
Ru (0.500, 0.000, 0.000)
Ru (0.000, 0.500, 0.000)
Sc (0.500, 0.500, 0.500)
Cu (0.000, 0.000, 0.000)

Calculated values
Crystal system: cubic
Energy, eV/atom: -6.60
Total magnetic moment, μB/cell: 0.00
ΔH_f (0 K), eV per atom: 1.050
Excess energy over the best structure of this formula in the dataset, eV/atom: 0.0000